[1]
Mg4MoRh5 (GGA-PBE, relaxed); total moment = 0.00 μB/f.u.; total energy = -0.426 Ry/atom; symmetry = No. 123; formation enthalpy at 0 K = -0.398 eV per atom; V = 150 Å³/cell
1.0
-1.312 0.477 2.726
2.528 -1.023 1.396
5.901 14.902 0.232
Mg Rh Mo
4 5 1
Cartesian
3.532 8.920 0.139
4.679 11.817 0.184
1.222 3.085 0.048
2.369 5.982 0.093
5.909 13.115 2.269
1.207 1.242 2.085
3.558 7.178 2.177
2.392 4.234 2.131
4.724 10.122 2.223
0.000 0.000 0.000

[2]
MgMo2Rh (GGA-PBE, relaxed); total moment = 0.00 μB/f.u.; total energy = -0.558 Ry/atom; symmetry = No. 10; formation enthalpy at 0 K = 0.064 eV per atom; V = 62 Å³/cell
1.0
4.490 0.000 0.000
0.000 2.750 -0.003
0.000 1.510 5.045
Mg Rh Mo
1 1 2
Cartesian
2.245 3.195 3.782
2.245 1.065 1.261
0.000 1.528 5.031
0.000 2.112 2.536

[3]
Mg2MoRh3 (GGA-PBE, relaxed); total moment = 0.00 μB/f.u.; total energy = -0.469 Ry/atom; symmetry = No. 123; formation enthalpy at 0 K = -0.363 eV per atom; V = 90 Å³/cell
1.0
-0.887 -1.707 -2.222
-0.858 -2.053 1.920
-9.485 4.366 0.430
Mg Rh Mo
2 3 1
Cartesian
-8.818 1.777 0.209
-2.412 -1.172 -0.081
-6.321 2.909 0.286
0.000 0.000 0.000
-3.165 1.457 0.143
-5.615 0.303 0.064

[4]
MgMo2Rh (GGA-PBE, relaxed); total moment = 0.00 μB/f.u.; total energy = -0.552 Ry/atom; symmetry = No. 123; formation enthalpy at 0 K = 0.141 eV per atom; V = 64 Å³/cell
1.0
2.755 0.000 0.000
0.000 2.755 0.000
0.000 0.000 8.447
Rh Mo Mg
1 2 1
Cartesian
1.378 1.378 2.112
0.000 0.000 0.161
0.000 0.000 4.062
1.378 1.378 6.336

[5]
MgSb2MoRh (GGA-PBE, relaxed); uncorrected formation energy = 0.75 eV/atom; total moment = 2.55 μB/f.u.; total energy = -0.357 Ry/atom; symmetry = No. 123; V = 129 Å³/cell
1.0
5.100 0.000 0.000
0.000 4.977 0.000
0.000 0.000 5.100
Sb Mg Mo Rh
2 1 1 1
Cartesian
0.000 0.000 2.550
2.550 0.000 0.000
2.550 2.489 2.550
0.000 2.489 0.000
0.000 0.000 0.000

[6]
MgSiMoRh2 (GGA-PBE, relaxed); uncorrected formation energy = 1.20 eV/atom; total moment = 0.00 μB/f.u.; total energy = -0.390 Ry/atom; symmetry = No. 123; V = 109 Å³/cell
1.0
-3.918 2.150 -1.277
-1.421 0.268 4.810
2.127 4.114 0.399
Mg Rh Mo Si
1 2 1 1
Cartesian
-0.710 0.134 2.405
-1.959 1.075 -0.639
1.063 2.057 0.199
0.000 0.000 0.000
-1.606 3.266 1.966

[7]
MgMoRu (GGA-PBE, relaxed); total moment = 0.00 μB/f.u.; total energy = -0.516 Ry/atom; symmetry = No. 42; formation enthalpy at 0 K = 0.219 eV per atom; V = 48 Å³/cell; energy above the most stable polymorph in this dataset = 60 kJ/mol of formula units
1.0
7.206 -0.008 0.005
6.482 2.650 0.016
0.724 -0.900 2.500
Mg Mo Ru
1 1 1
Cartesian
0.783 -0.884 2.489
4.931 0.249 1.696
9.423 1.477 0.837

[8]
Mg2MoRu2 (GGA-PBE, relaxed); total moment = 0.00 μB/f.u.; total energy = -0.464 Ry/atom; symmetry = No. 127; formation enthalpy at 0 K = 0.206 eV per atom; V = 176 Å³/cell
1.0
-3.793 -4.179 -2.923
5.009 -2.366 -3.116
0.659 -2.856 3.228
Mo Mg Ru
2 4 4
Cartesian
0.608 -3.273 -3.020
0.000 0.000 0.000
-0.052 -3.206 0.119
-1.168 -5.664 -1.827
3.043 -3.738 -0.983
1.927 -6.196 -2.930
1.309 -1.429 -1.532
-0.093 -5.116 -4.507
-1.731 -2.978 -2.282
2.947 -3.567 -3.757

What is the formula in the fourth record?
MgMo2Rh